[1]
Computed, not measured: crystalline LiCaRe2Pt at its relaxed geometry at the GGA-PBE level of DFT.

Summary:
- volume (Å³ per cell) = 125.7
- formation energy from the elements (kJ/mol of formula units) = 632
- energy (eV/atom) = -5.66
- density (Mg/m³) = 8.1
- total moment (μB per formula unit) = 1.45
- crystal system = tetragonal

Lattice parameters (Å, degrees): 4.838 4.838 5.371 90.00 90.00 90.00
Space group P4/mmm (No. 123)
One atom of each set of equivalent atoms:
1 Li 0.000 0.000 0.000 [1 per cell]
2 Ca 0.500 0.500 0.000 [1 per cell]
3 Re 0.000 0.500 0.500 [2 per cell]
4 Pt 0.500 0.500 0.500 [1 per cell]


[2]
Computed, not measured: crystalline Li2Tb2TmMg5 at its relaxed geometry at the GGA-PBE level of DFT.

Summary:
- volume (Å³ per cell) = 489.8
- formation energy from the elements (kJ/mol of formula units) = -22
- energy (eV/atom) = -2.58
- density (Mg/m³) = 4.2
- total moment (μB per formula unit) = 0.00
- crystal system = tetragonal

Lattice parameters (Å, degrees): 10.522 10.522 4.424 90.00 90.00 90.00
Space group P4/mbm (No. 127)
One atom of each set of equivalent atoms:
1 Li 0.115 0.385 0.000 [4 per cell]
2 Tb 0.180 0.680 0.000 [4 per cell]
3 Tm 0.000 0.000 0.000 [2 per cell]
4 Mg 0.000 0.500 0.500 [2 per cell]
5 Mg 0.064 0.212 0.500 [8 per cell]


[3]
Computed, not measured: crystalline GeBrNF2 at its relaxed geometry at the GGA-PBE level of DFT.

Summary:
- volume (Å³ per cell) = 65.1
- ΔE_f (raw) (eV per atom) = -0.292
- distance to the lowest polymorph of the same formula (eV per formula unit) = 0.000
- energy (eV/atom) = -3.96
- density (Mg/m³) = 5.2
- total moment (μB per formula unit) = 0.00
- crystal system = tetragonal

Lattice parameters (Å, degrees): 3.918 3.918 4.241 90.00 90.00 90.00
Space group P4/mmm (No. 123)
One atom of each set of equivalent atoms:
1 Ge 0.000 0.000 0.000 [1 per cell]
2 Br 0.500 0.500 0.500 [1 per cell]
3 N 0.000 0.000 0.500 [1 per cell]
4 F 0.000 0.500 0.000 [2 per cell]


- The lowest energy belongs to which entry?
  LiCaRe2Pt


- Look up the total moment of the first one.
  1.45 μB per formula unit


- Which formula does entry 3 have?
  GeBrNF2


- What is the volume in the second record?
  489.8 Å³ per cell